Below is an optimized crystal structure of TlCd2W, with properties calculated at the PBE-GGA level.

POSCAR file:
```
TlCd2W
1.0
2.9462 0.0000 0.0000
0.0000 5.1691 0.0000
0.0000 0.0000 5.4933
Tl Cd W
1 2 1
Cartesian
0.0000 0.0000 0.0000
0.0000 2.5845 2.7467
1.4731 0.0000 2.7467
1.4731 2.5845 0.0000
```

Computed properties:
volume: 20.91 A^3/atom
crystal system: orthorhombic
space-group type: Pmmm
relative energy among the computed polymorphs: 198 meV/atom
mass density: 12.17 g/cm³
energy of formation: 732 meV per atom
energy: -3.555 eV per atom

Below is an optimized crystal structure of InIN2, with properties calculated at the PBE-GGA level.

POSCAR file:
```
InIN2
1.0
-2.4320 2.4320 6.1609
2.4320 -2.4320 6.1609
2.4320 2.4320 -6.1609
In I N
2 2 4
Cartesian
0.0000 0.0000 0.0000
0.0000 2.4320 3.0804
2.4320 0.0000 3.0804
0.0000 0.0000 6.1609
3.6479 1.1658 -1.5402
1.1658 1.2160 1.5402
-1.2160 1.2662 4.6207
1.2662 1.2160 7.7011
```

Computed properties:
volume: 18.22 A^3/atom
crystal system: tetragonal
space-group type: I-42d
relative energy among the computed polymorphs: 1400 meV/atom
mass density: 6.15 g/cm³
energy: -3.969 eV per atom

Below is an optimized crystal structure of Re3Tc4, with properties calculated at the PBE-GGA level.

POSCAR file:
```
Re3Tc4
1.0
6.3882 -1.3745 0.0000
6.3882 1.3745 0.0000
-2.8006 0.0000 6.0316
Re Tc
3 4
Cartesian
0.0000 0.0000 0.0000
2.4696 0.0000 0.9237
7.5061 0.0000 5.1078
-0.9438 0.0000 4.2250
2.9959 0.0000 3.6354
6.9798 0.0000 2.3962
10.9195 0.0000 1.8066
```

Computed properties:
volume: 15.13 A^3/atom
crystal system: monoclinic
space-group type: C2/m
relative energy among the computed polymorphs: 147 meV/atom
mass density: 14.90 g/cm³
energy of formation: 210 meV per atom
energy: -11.048 eV per atom

Below is an optimized crystal structure of Ce6ZnOs5, with properties calculated at the PBE-GGA level.

POSCAR file:
```
Ce6ZnOs5
1.0
3.5650 -5.6542 0.0000
3.5650 5.6542 0.0000
-1.9934 0.0000 6.8389
Ce Zn Os
6 1 5
Cartesian
0.1699 2.0231 4.9418
1.0391 0.0000 1.5437
0.1699 -2.0231 4.9418
4.9666 2.0231 1.8971
4.0975 0.0000 5.2951
4.9666 -2.0231 1.8971
3.5650 0.0000 0.0000
-0.9967 0.0000 3.4194
3.5650 3.5326 0.0000
2.5683 1.4482 3.4194
2.5683 -1.4482 3.4194
3.5650 -3.5326 0.0000
```

Computed properties:
volume: 22.98 A^3/atom
crystal system: monoclinic
space-group type: C2/m
mass density: 11.19 g/cm³
energy of formation: -23 meV per atom
energy: -7.775 eV per atom

Below is an optimized crystal structure of VCuMo, with properties calculated at the PBE-GGA level.

POSCAR file:
```
VCuMo
1.0
-1.5826 1.5826 4.2080
1.5826 -1.5826 4.2080
1.5826 1.5826 -4.2080
V Cu Mo
1 1 1
Cartesian
0.0000 0.0000 0.0000
0.0000 0.0000 5.6473
0.0000 0.0000 2.9153
```

Computed properties:
volume: 14.05 A^3/atom
crystal system: tetragonal
space-group type: I4mm
relative energy among the computed polymorphs: 101 meV/atom
mass density: 8.29 g/cm³
energy of formation: 225 meV per atom
energy: -7.790 eV per atom

Below is an optimized crystal structure of BaAcSbH, with properties calculated at the PBE-GGA level.

POSCAR file:
```
BaAcSbH
1.0
5.1062 0.0000 0.0000
0.0000 5.1062 0.0000
0.0000 0.0000 9.9412
Ba Ac Sb H
2 2 2 2
Cartesian
1.2766 1.2766 1.1070
3.8297 3.8297 8.8341
1.2766 3.8297 4.9706
3.8297 1.2766 4.9706
1.2766 1.2766 7.1810
3.8297 3.8297 2.7602
1.2766 3.8297 0.0000
3.8297 1.2766 0.0000
```

Computed properties:
volume: 32.40 A^3/atom
crystal system: tetragonal
space-group type: P4/nmm
mass density: 6.24 g/cm³
energy: -4.026 eV per atom

> mass density of number 5 (VCuMo)?

8.29 g/cm³